<P>
Sc2Al2Sb: relaxed, PBE-GGA.

CIF file:
```
data_Sc2Al2Sb
_space_group_name_H-M_alt 'P 4/m b m'
_space_group_IT_number 127
_space_group_name_Hall '-P 4 2ab'
_cell_length_a 7.8646
_cell_length_b 7.8646
_cell_length_c 3.6014
_cell_angle_alpha 90.00
_cell_angle_beta 90.00
_cell_angle_gamma 90.00
loop_
_atom_site_label
_atom_site_type_symbol
_atom_site_fract_x
_atom_site_fract_y
_atom_site_fract_z
Sc1 Sc 0.1784 0.3216 0.0000
Al1 Al 0.1174 0.6174 0.5000
Sb1 Sb 0.0000 0.0000 0.0000
```

<Q>
Sc2Al2Sb: relaxed, PBE-GGA.

CIF file:
```
data_Sc2Al2Sb
_space_group_name_H-M_alt 'P 4/m b m'
_space_group_IT_number 127
_space_group_name_Hall '-P 4 2ab'
_cell_length_a 7.1573
_cell_length_b 7.1573
_cell_length_c 4.1190
_cell_angle_alpha 90.00
_cell_angle_beta 90.00
_cell_angle_gamma 90.00
loop_
_atom_site_label
_atom_site_type_symbol
_atom_site_fract_x
_atom_site_fract_y
_atom_site_fract_z
Sc1 Sc 0.1704 0.3296 0.0000
Al1 Al 0.1244 0.6244 0.5000
Sb1 Sb 0.0000 0.0000 0.5000
```

Consider the structures shown above. The most stable of them is <Q>.